# 1
Material: MnHgCl2
Method: DFT, PBE-GGA
State: relaxed

Summary:
Space group: F-43m (216)
Magnetization: 5.0 Bohr magnetons per cell
Uncorrected formation energy: 0.02 eV per atom
Distance to the lowest polymorph of the same formula: 808 meV per atom

The structure in POSCAR format:
```
MnHgCl2
1.0
4.989 0.000 0.000
2.495 4.321 0.000
2.495 1.440 4.074
Mn Cl Hg
1 2 1
Direct
0.750 0.750 0.750 Mn
0.250 0.250 0.250 Cl
0.000 0.000 0.000 Cl
0.500 0.500 0.500 Hg
```

***

# 2
Material: MnHgCl2
Method: DFT, PBE-GGA
State: relaxed

Summary:
Space group: P2/m (10)
Magnetization: 5.0 Bohr magnetons per cell
Uncorrected formation energy: -0.65 eV per atom
Distance to the lowest polymorph of the same formula: 137 meV per atom

The structure in POSCAR format:
```
MnHgCl2
1.0
3.477 0.000 0.000
0.000 4.091 0.006
0.000 1.692 9.271
Hg Cl Mn
1 2 1
Direct
0.500 0.250 0.250 Hg
0.000 0.906 0.904 Cl
0.000 0.594 0.596 Cl
0.500 0.750 0.750 Mn
```

***

# 3
Material: MnHgCl2
Method: DFT, PBE-GGA
State: relaxed

Summary:
Space group: C2/m (12)
Magnetization: 5.0 Bohr magnetons per cell
Uncorrected formation energy: -0.79 eV per atom
Distance to the lowest polymorph of the same formula: 0 meV per atom

The structure in POSCAR format:
```
MnHgCl2
1.0
-3.186 -0.636 1.753
-1.165 -3.465 0.515
3.623 -1.530 9.404
Hg Cl Mn
1 2 1
Direct
0.750 0.750 0.750 Hg
0.543 0.543 0.389 Cl
0.957 0.957 0.111 Cl
0.250 0.250 0.250 Mn
```

***

# 4
Material: Mn2Hg2Cl7
Method: DFT, PBE-GGA
State: relaxed

Summary:
Space group: P-1 (2)
Magnetization: 9.0 Bohr magnetons per cell
Uncorrected formation energy: -0.83 eV per atom

The structure in POSCAR format:
```
Mn2Hg2Cl7
1.0
-2.059 7.720 -0.968
-8.429 -3.344 3.596
-3.360 -0.012 5.183
Cl Mn Hg
7 2 2
Direct
0.112 0.528 0.742 Cl
0.214 0.027 0.469 Cl
0.786 0.973 0.531 Cl
0.888 0.472 0.258 Cl
0.656 0.502 0.749 Cl
0.344 0.498 0.251 Cl
0.000 0.000 0.000 Cl
0.944 0.754 0.622 Mn
0.056 0.246 0.378 Mn
0.550 0.823 0.264 Hg
0.450 0.177 0.736 Hg
```

***

Among the records above, which one has the highest magnetization?
Mn2Hg2Cl7

***

Look up the uncorrected formation energy of the fourth one.
-0.83 eV per atom

***

Which of these has the highest magnetization?
Mn2Hg2Cl7